Computed, not measured: a relaxed structure of VGe2Mo2 at the PBE level of DFT.

The calculation puts the density of states at the Fermi level at 3.37 states/eV/f.u. The calculation puts the spin magnetization at 0.0 μB per cell. Its space group is No. 11. The value obtained for the energy above the most stable polymorph in this dataset is 0 meV per atom. The volume is 151.0 Å³ per cell. The total DFT energy (no corrections) comes out at -8.031 eV per atom. The formation enthalpy at 0 K comes out at -0.028 eV per atom.

```
data_VGe2Mo2
_chemical_formula_sum 'V2 Ge4 Mo4'
_cell_length_a 4.6190
_cell_length_b 4.6091
_cell_length_c 7.4325
_cell_angle_alpha 90.00
_cell_angle_beta 107.36
_cell_angle_gamma 90.00
_space_group_name_H-M_alt 'P 1'
_space_group_IT_number 1
loop_
_space_group_symop_operation_xyz
'x,y,z'
loop_
_atom_site_label
_atom_site_fract_x
_atom_site_fract_y
_atom_site_fract_z
V1 0.0130 0.2500 0.3919
V2 0.9870 0.7500 0.6081
Ge1 0.1930 0.7500 0.9813
Ge2 0.3583 0.7500 0.4044
Ge3 0.6417 0.2500 0.5956
Ge4 0.8070 0.2500 0.0187
Mo1 0.2411 0.2500 0.7892
Mo2 0.3914 0.2500 0.2020
Mo3 0.6086 0.7500 0.7980
Mo4 0.7589 0.7500 0.2108
```

=====

Computed, not measured: a relaxed structure of V5Ge2Mo at the PBE level of DFT.

The calculation puts the density of states at the Fermi level at 7.30 states/eV/f.u. The calculation puts the spin magnetization at 0.0 μB per cell. Its space group is No. 71. The volume is 115.9 Å³ per cell. The total DFT energy (no corrections) comes out at -8.242 eV per atom. The formation enthalpy at 0 K comes out at -0.035 eV per atom.

```
data_V5Ge2Mo
_chemical_formula_sum 'V5 Ge2 Mo1'
_cell_length_a 6.2964
_cell_length_b 6.2964
_cell_length_c 6.2964
_cell_angle_alpha 150.91
_cell_angle_beta 102.46
_cell_angle_gamma 84.86
_space_group_name_H-M_alt 'P 1'
_space_group_IT_number 1
loop_
_space_group_symop_operation_xyz
'x,y,z'
loop_
_atom_site_label
_atom_site_fract_x
_atom_site_fract_y
_atom_site_fract_z
V1 0.0000 0.0000 0.0000
V2 0.0494 0.3557 0.6937
V3 0.3380 0.6443 0.6937
V4 0.6620 0.3557 0.3063
V5 0.9506 0.6443 0.3063
Ge1 0.2784 0.2784 0.0000
Ge2 0.7216 0.7216 0.0000
Mo1 0.5000 0.0000 0.5000
```

=====

Computed, not measured: a relaxed structure of V6GeMo5 at the PBE level of DFT.

The calculation puts the density of states at the Fermi level at 9.14 states/eV/f.u. The calculation puts the spin magnetization at 0.0 μB per cell. Its space group is No. 71. The volume is 173.3 Å³ per cell. The total DFT energy (no corrections) comes out at -9.618 eV per atom. The formation enthalpy at 0 K comes out at -0.161 eV per atom.

```
data_V6GeMo5
_chemical_formula_sum 'V6 Ge1 Mo5'
_cell_length_a 7.5143
_cell_length_b 7.5143
_cell_length_c 7.5143
_cell_angle_alpha 146.58
_cell_angle_beta 131.55
_cell_angle_gamma 60.13
_space_group_name_H-M_alt 'P 1'
_space_group_IT_number 1
loop_
_space_group_symop_operation_xyz
'x,y,z'
loop_
_atom_site_label
_atom_site_fract_x
_atom_site_fract_y
_atom_site_fract_z
V1 0.0783 0.3313 0.7469
V2 0.2397 0.0000 0.2397
V3 0.4156 0.6687 0.7469
V4 0.5844 0.3313 0.2531
V5 0.7603 0.0000 0.7603
V6 0.9217 0.6687 0.2531
Ge1 0.5000 0.5000 0.0000
Mo1 0.0000 0.5000 0.5000
Mo2 0.1689 0.1689 0.0000
Mo3 0.3396 0.8396 0.5000
Mo4 0.6604 0.1604 0.5000
Mo5 0.8311 0.8311 0.0000
```

=====

Computed, not measured: a relaxed structure of V12Ge3Mo at the PBE level of DFT.

The calculation puts the density of states at the Fermi level at 20.22 states/eV/f.u. The calculation puts the spin magnetization at 0.0 μB per cell. Its space group is No. 47. The volume is 218.4 Å³ per cell. The total DFT energy (no corrections) comes out at -8.641 eV per atom. The formation enthalpy at 0 K comes out at -0.259 eV per atom.

```
data_V12Ge3Mo
_chemical_formula_sum 'V12 Ge3 Mo1'
_cell_length_a 4.7670
_cell_length_b 4.7866
_cell_length_c 9.5727
_cell_angle_alpha 90.00
_cell_angle_beta 90.00
_cell_angle_gamma 90.00
_space_group_name_H-M_alt 'P 1'
_space_group_IT_number 1
loop_
_space_group_symop_operation_xyz
'x,y,z'
loop_
_atom_site_label
_atom_site_fract_x
_atom_site_fract_y
_atom_site_fract_z
V1 0.0000 0.0000 0.1244
V2 0.0000 0.0000 0.3726
V3 0.0000 0.0000 0.6274
V4 0.0000 0.0000 0.8756
V5 0.2496 0.5000 0.5000
V6 0.2511 0.5000 0.0000
V7 0.5000 0.2464 0.2510
V8 0.5000 0.2464 0.7490
V9 0.5000 0.7536 0.2510
V10 0.5000 0.7536 0.7490
V11 0.7489 0.5000 0.0000
V12 0.7504 0.5000 0.5000
Ge1 0.0000 0.5000 0.2517
Ge2 0.0000 0.5000 0.7483
Ge3 0.5000 0.0000 0.5000
Mo1 0.5000 0.0000 0.0000
```

=====

Computed, not measured: a relaxed structure of V5Ge2Mo3 at the PBE level of DFT.

The calculation puts the density of states at the Fermi level at 10.46 states/eV/f.u. The calculation puts the spin magnetization at 0.0 μB per cell. Its space group is No. 72. The volume is 302.4 Å³ per cell. The total DFT energy (no corrections) comes out at -8.489 eV per atom. The formation enthalpy at 0 K comes out at 0.243 eV per atom.

```
data_V5Ge2Mo3
_chemical_formula_sum 'V10 Ge4 Mo6'
_cell_length_a 8.4062
_cell_length_b 8.4062
_cell_length_c 8.4062
_cell_angle_alpha 109.99
_cell_angle_beta 79.97
_cell_angle_gamma 146.34
_space_group_name_H-M_alt 'P 1'
_space_group_IT_number 1
loop_
_space_group_symop_operation_xyz
'x,y,z'
loop_
_atom_site_label
_atom_site_fract_x
_atom_site_fract_y
_atom_site_fract_z
V1 0.1629 0.2266 0.3895
V2 0.2500 0.0107 0.7607
V3 0.2500 0.2500 0.0000
V4 0.2500 0.4893 0.2393
V5 0.3371 0.7266 0.0638
V6 0.6629 0.2734 0.9362
V7 0.7500 0.5107 0.7607
V8 0.7500 0.7500 0.0000
V9 0.7500 0.9893 0.2393
V10 0.8371 0.7734 0.6105
Ge1 0.1603 0.6312 0.7915
Ge2 0.3397 0.1312 0.4708
Ge3 0.6603 0.8688 0.5292
Ge4 0.8397 0.3688 0.2085
Mo1 0.1867 0.9168 0.1035
Mo2 0.2500 0.7500 0.5000
Mo3 0.3133 0.4168 0.7301
Mo4 0.6867 0.5832 0.2699
Mo5 0.7500 0.2500 0.5000
Mo6 0.8133 0.0832 0.8965
```

=====

Computed, not measured: a relaxed structure of VGe4Mo3 at the PBE level of DFT.

The calculation puts the density of states at the Fermi level at 7.08 states/eV/f.u. The calculation puts the spin magnetization at 1.4 μB per cell. Its space group is No. 59. The volume is 324.3 Å³ per cell. The total DFT energy (no corrections) comes out at -7.038 eV per atom. The formation enthalpy at 0 K comes out at 0.472 eV per atom.

```
data_VGe4Mo3
_chemical_formula_sum 'V2 Ge8 Mo6'
_cell_length_a 4.9737
_cell_length_b 8.6221
_cell_length_c 7.5617
_cell_angle_alpha 90.00
_cell_angle_beta 90.00
_cell_angle_gamma 90.00
_space_group_name_H-M_alt 'P 1'
_space_group_IT_number 1
loop_
_space_group_symop_operation_xyz
'x,y,z'
loop_
_atom_site_label
_atom_site_fract_x
_atom_site_fract_y
_atom_site_fract_z
V1 0.2500 0.2500 0.1578
V2 0.7500 0.7500 0.8422
Ge1 0.2500 0.0079 0.3330
Ge2 0.2500 0.2500 0.8296
Ge3 0.2500 0.4921 0.3330
Ge4 0.2500 0.7500 0.8431
Ge5 0.7500 0.2500 0.1569
Ge6 0.7500 0.5079 0.6670
Ge7 0.7500 0.7500 0.1704
Ge8 0.7500 0.9921 0.6670
Mo1 0.2500 0.5021 0.6650
Mo2 0.2500 0.7500 0.1760
Mo3 0.2500 0.9979 0.6650
Mo4 0.7500 0.0021 0.3350
Mo5 0.7500 0.2500 0.8240
Mo6 0.7500 0.4979 0.3350
```

=====

Computed, not measured: a relaxed structure of VGe3Mo at the PBE level of DFT.

The calculation puts the density of states at the Fermi level at 8.49 states/eV/f.u. The calculation puts the spin magnetization at 4.1 μB per cell. Its space group is No. 221. The value obtained for the energy above the most stable polymorph in this dataset is 650 meV per atom. The volume is 115.0 Å³ per cell. The total DFT energy (no corrections) comes out at -5.953 eV per atom. The formation enthalpy at 0 K comes out at 0.807 eV per atom.

```
data_VGe3Mo
_chemical_formula_sum 'V1 Ge3 Mo1'
_cell_length_a 4.8623
_cell_length_b 4.8623
_cell_length_c 4.8623
_cell_angle_alpha 90.00
_cell_angle_beta 90.00
_cell_angle_gamma 90.00
_space_group_name_H-M_alt 'P 1'
_space_group_IT_number 1
loop_
_space_group_symop_operation_xyz
'x,y,z'
loop_
_atom_site_label
_atom_site_fract_x
_atom_site_fract_y
_atom_site_fract_z
V1 0.0000 0.0000 0.0000
Ge1 0.0000 0.5000 0.5000
Ge2 0.5000 0.0000 0.5000
Ge3 0.5000 0.5000 0.0000
Mo1 0.5000 0.5000 0.5000
```

=====

Computed, not measured: a relaxed structure of V5Ge6Mo at the PBE level of DFT.

The calculation puts the density of states at the Fermi level at 9.03 states/eV/f.u. The calculation puts the spin magnetization at 0.0 μB per cell. Its space group is No. 12. The volume is 176.5 Å³ per cell. The total DFT energy (no corrections) comes out at -7.069 eV per atom. The formation enthalpy at 0 K comes out at -0.058 eV per atom.

```
data_V5Ge6Mo
_chemical_formula_sum 'V5 Ge6 Mo1'
_cell_length_a 6.6843
_cell_length_b 6.6843
_cell_length_c 4.5940
_cell_angle_alpha 109.92
_cell_angle_beta 109.92
_cell_angle_gamma 95.10
_space_group_name_H-M_alt 'P 1'
_space_group_IT_number 1
loop_
_space_group_symop_operation_xyz
'x,y,z'
loop_
_atom_site_label
_atom_site_fract_x
_atom_site_fract_y
_atom_site_fract_z
V1 0.0000 0.0000 0.0000
V2 0.1691 0.8309 0.5000
V3 0.3349 0.6651 0.0000
V4 0.6651 0.3349 0.0000
V5 0.8309 0.1691 0.5000
Ge1 0.0768 0.4139 0.2451
Ge2 0.2474 0.2474 0.7469
Ge3 0.4139 0.0768 0.2451
Ge4 0.5861 0.9232 0.7549
Ge5 0.7526 0.7526 0.2531
Ge6 0.9232 0.5861 0.7549
Mo1 0.5000 0.5000 0.5000
```